1.
DFT (GGA-PBEsol) results for KBa2Te2 after structural relaxation.

Lattice parameters (Å, degrees): 6.411 6.411 12.998 90.00 90.00 90.00
Fractional coordinates of all 10 atoms:
K (0.000, 0.000, 0.000)
K (0.500, 0.500, 0.500)
Ba (0.000, 0.000, 0.324)
Ba (0.000, 0.000, 0.676)
Ba (0.500, 0.500, 0.176)
Ba (0.500, 0.500, 0.824)
Te (0.000, 0.500, 0.250)
Te (0.000, 0.500, 0.750)
Te (0.500, 0.000, 0.250)
Te (0.500, 0.000, 0.750)

Calculated values
Density of states at the Fermi level: 4.455 states/eV/cell
Raw total energy: -3.58 eV per atom
E_form (uncorrected): -1082 meV/atom

2.
DFT (GGA-PBEsol) results for KBa2Tl after structural relaxation.

Lattice parameters (Å, degrees): 4.250 4.250 11.065 90.00 90.00 90.00
Fractional coordinates of all 4 atoms:
K (0.000, 0.000, 0.000)
Ba (0.500, 0.500, 0.325)
Ba (0.500, 0.500, 0.675)
Tl (0.000, 0.000, 0.500)

Calculated values
Density of states at the Fermi level: 2.719 states/eV/cell
Formation enthalpy at 0 K: -0.231 eV/atom
Raw total energy: -2.25 eV per atom

3.
DFT (GGA-PBEsol) results for KBaTl3 after structural relaxation.

Lattice parameters (Å, degrees): 5.886 5.886 5.886 90.00 90.00 90.00
Fractional coordinates of all 5 atoms:
K (0.000, 0.000, 0.000)
Ba (0.500, 0.500, 0.500)
Tl (0.000, 0.000, 0.500)
Tl (0.000, 0.500, 0.000)
Tl (0.500, 0.000, 0.000)

Calculated values
Density of states at the Fermi level: 5.941 states/eV/cell
Formation enthalpy at 0 K: 0.305 eV/atom
Raw total energy: -1.93 eV per atom

4.
DFT (GGA-PBEsol) results for K2BaTl after structural relaxation.

Lattice parameters (Å, degrees): 4.293 4.293 11.036 90.00 90.00 90.00
Fractional coordinates of all 4 atoms:
K (0.000, 0.000, 0.000)
K (0.500, 0.500, 0.326)
Ba (0.500, 0.500, 0.686)
Tl (0.000, 0.000, 0.528)

Calculated values
Density of states at the Fermi level: 3.253 states/eV/cell
Formation enthalpy at 0 K: -0.117 eV/atom
Raw total energy: -1.88 eV per atom

5.
DFT (GGA-PBEsol) results for KBaTl4 after structural relaxation.

Lattice parameters (Å, degrees): 6.466 6.466 6.466 60.00 60.00 60.00
Fractional coordinates of all 6 atoms:
K (0.000, 0.000, 0.000)
Ba (0.750, 0.750, 0.750)
Tl (0.375, 0.375, 0.375)
Tl (0.375, 0.375, 0.875)
Tl (0.375, 0.875, 0.375)
Tl (0.875, 0.375, 0.375)

Calculated values
Density of states at the Fermi level: 4.108 states/eV/cell
Formation enthalpy at 0 K: -0.230 eV/atom
Raw total energy: -2.53 eV per atom

6.
DFT (GGA-PBEsol) results for KBa2Tl after structural relaxation.

Lattice parameters (Å, degrees): 4.693 4.721 19.113 90.00 90.00 90.00
Fractional coordinates of all 8 atoms:
K (0.000, 0.000, 0.000)
K (0.000, 0.500, 0.500)
Ba (0.000, 0.000, 0.697)
Ba (0.000, 0.500, 0.197)
Ba (0.500, 0.000, 0.337)
Ba (0.500, 0.500, 0.837)
Tl (0.500, 0.000, 0.143)
Tl (0.500, 0.500, 0.643)

Calculated values
Density of states at the Fermi level: 9.984 states/eV/cell
Formation enthalpy at 0 K: -0.044 eV/atom
Raw total energy: -2.06 eV per atom

7.
DFT (GGA-PBEsol) results for KBaW after structural relaxation.

Lattice parameters (Å, degrees): 3.191 3.191 9.688 90.00 90.00 120.00
Fractional coordinates of all 3 atoms:
K (0.000, 0.000, 0.000)
Ba (0.667, 0.333, 0.420)
W (0.333, 0.667, 0.701)

Calculated values
Density of states at the Fermi level: 4.003 states/eV/cell
Formation enthalpy at 0 K: 1.566 eV/atom
Raw total energy: -4.13 eV per atom

8.
DFT (GGA-PBEsol) results for KBaW after structural relaxation.

Lattice parameters (Å, degrees): 8.093 8.093 8.093 90.00 90.00 90.00
Fractional coordinates of all 12 atoms:
K (0.000, 0.000, 0.000)
K (0.000, 0.500, 0.500)
K (0.500, 0.000, 0.500)
K (0.500, 0.500, 0.000)
Ba (0.000, 0.000, 0.500)
Ba (0.000, 0.500, 0.000)
Ba (0.500, 0.000, 0.000)
Ba (0.500, 0.500, 0.500)
W (0.250, 0.250, 0.750)
W (0.250, 0.750, 0.250)
W (0.750, 0.250, 0.250)
W (0.750, 0.750, 0.750)

Calculated values
Density of states at the Fermi level: 15.484 states/eV/cell
Formation enthalpy at 0 K: 2.009 eV/atom
Raw total energy: -3.69 eV per atom

9.
DFT (GGA-PBEsol) results for KBaY2 after structural relaxation.

Lattice parameters (Å, degrees): 3.790 3.790 11.882 90.00 90.00 90.00
Fractional coordinates of all 4 atoms:
K (0.000, 0.000, 0.000)
Ba (0.500, 0.500, 0.687)
Y (0.000, 0.000, 0.448)
Y (0.500, 0.500, 0.268)

Calculated values
Density of states at the Fermi level: 6.742 states/eV/cell
Formation enthalpy at 0 K: 0.239 eV/atom
Raw total energy: -3.99 eV per atom

10.
DFT (GGA-PBEsol) results for K2BaZn after structural relaxation.

Lattice parameters (Å, degrees): 4.446 6.766 6.101 90.00 96.40 90.00
Fractional coordinates of all 4 atoms:
K (0.202, 0.000, 0.278)
K (0.798, 0.000, 0.722)
Ba (0.500, 0.500, 0.000)
Zn (0.000, 0.500, 0.500)

Calculated values
Density of states at the Fermi level: 4.385 states/eV/cell
Formation enthalpy at 0 K: 0.237 eV/atom
Raw total energy: -1.26 eV per atom

11.
DFT (GGA-PBEsol) results for K2BaZn after structural relaxation.

Lattice parameters (Å, degrees): 5.152 5.196 6.717 90.00 90.00 90.00
Fractional coordinates of all 4 atoms:
K (0.000, 0.000, 0.000)
K (0.500, 0.500, 0.000)
Ba (0.000, 0.500, 0.500)
Zn (0.500, 0.000, 0.500)

Calculated values
Density of states at the Fermi level: 4.273 states/eV/cell
Formation enthalpy at 0 K: 0.213 eV/atom
Raw total energy: -1.29 eV per atom

12.
DFT (GGA-PBEsol) results for KBa2Zn after structural relaxation.

Lattice parameters (Å, degrees): 8.524 8.524 8.524 90.00 90.00 90.00
Fractional coordinates of all 16 atoms:
K (0.000, 0.000, 0.000)
K (0.000, 0.500, 0.500)
K (0.500, 0.000, 0.500)
K (0.500, 0.500, 0.000)
Ba (0.000, 0.000, 0.500)
Ba (0.000, 0.500, 0.000)
Ba (0.250, 0.250, 0.250)
Ba (0.250, 0.750, 0.750)
Ba (0.500, 0.000, 0.000)
Ba (0.500, 0.500, 0.500)
Ba (0.750, 0.250, 0.750)
Ba (0.750, 0.750, 0.250)
Zn (0.250, 0.250, 0.750)
Zn (0.250, 0.750, 0.250)
Zn (0.750, 0.250, 0.250)
Zn (0.750, 0.750, 0.750)

Calculated values
Density of states at the Fermi level: 14.785 states/eV/cell
Formation enthalpy at 0 K: 0.246 eV/atom
Raw total energy: -1.51 eV per atom

13.
DFT (GGA-PBEsol) results for KBa2Zn after structural relaxation.

Lattice parameters (Å, degrees): 4.094 4.094 11.053 90.00 90.08 90.00
Fractional coordinates of all 4 atoms:
K (0.000, 0.000, 0.000)
Ba (0.499, 0.500, 0.331)
Ba (0.501, 0.500, 0.669)
Zn (0.000, 0.000, 0.500)

Calculated values
Density of states at the Fermi level: 3.315 states/eV/cell
Formation enthalpy at 0 K: -0.056 eV/atom
Raw total energy: -1.81 eV per atom

14.
DFT (GGA-PBEsol) results for K2BaZn after structural relaxation.

Lattice parameters (Å, degrees): 4.614 4.614 35.236 90.00 90.00 120.00
Fractional coordinates of all 12 atoms:
K (0.000, 0.000, 0.000)
K (0.000, 0.000, 0.224)
K (0.333, 0.667, 0.667)
K (0.333, 0.667, 0.890)
K (0.667, 0.333, 0.333)
K (0.667, 0.333, 0.557)
Ba (0.000, 0.000, 0.776)
Ba (0.333, 0.667, 0.443)
Ba (0.667, 0.333, 0.109)
Zn (0.000, 0.000, 0.496)
Zn (0.333, 0.667, 0.162)
Zn (0.667, 0.333, 0.829)

Calculated values
Density of states at the Fermi level: 12.083 states/eV/cell
Formation enthalpy at 0 K: 0.119 eV/atom
Raw total energy: -1.38 eV per atom

15.
DFT (GGA-PBEsol) results for K2BaZn after structural relaxation.

Lattice parameters (Å, degrees): 7.295 12.478 4.351 90.00 90.00 90.00
Fractional coordinates of all 8 atoms:
K (0.250, 0.250, 0.000)
K (0.250, 0.750, 0.000)
K (0.750, 0.250, 0.000)
K (0.750, 0.750, 0.000)
Ba (0.000, 0.000, 0.500)
Ba (0.500, 0.500, 0.500)
Zn (0.000, 0.500, 0.500)
Zn (0.500, 0.000, 0.500)

Calculated values
Density of states at the Fermi level: 8.489 states/eV/cell
Formation enthalpy at 0 K: 0.333 eV/atom
Raw total energy: -1.17 eV per atom

Number 1: spin magnetization 0.663 μB per formula unit. Number 2: spin magnetization 0.000 μB per formula unit. Number 3: spin magnetization 0.001 μB per formula unit. Number 4: spin magnetization 0.000 μB per formula unit. Number 5: spin magnetization 0.000 μB per formula unit. Number 6: spin magnetization 0.001 μB per formula unit. Number 7: spin magnetization 0.001 μB per formula unit. Number 8: spin magnetization 4.721 μB per formula unit. Number 9: spin magnetization 0.287 μB per formula unit. Number 10: spin magnetization 0.001 μB per formula unit. Number 11: spin magnetization 0.011 μB per formula unit. Number 12: spin magnetization 0.000 μB per formula unit. Number 13: spin magnetization 0.000 μB per formula unit. Number 14: spin magnetization 0.001 μB per formula unit. Number 15: spin magnetization 0.000 μB per formula unit.